The following is a PBE calculation of a relaxed CsGeBr2Cl crystal, from Alexandria via LeMat-Bulk.

Cell and atoms, written as extended XYZ:
```
5
Lattice="5.6183 0.0000 0.0000 0.0000 5.6183 0.0000 0.0000 0.0000 5.3306" Properties=species:S:1:pos:R:3 pbc="T T T"
Cs 0.0000 0.0000 0.0000
Ge 2.8092 2.8092 2.6653
Br 0.0000 2.8092 2.6653
Br 2.8092 0.0000 2.6653
Cl 2.8092 2.8092 0.0000
```

E_form (uncorrected): -1.171 eV/atom
spin magnetization: 0.000 μB/atom


The following is a PBE calculation of a relaxed Cs2GeBr2Cl2 crystal, from Alexandria via LeMat-Bulk.

Cell and atoms, written as extended XYZ:
```
7
Lattice="8.5794 -2.2180 0.0000 8.5794 2.2180 0.0000 -3.3370 0.0000 6.7927" Properties=species:S:1:pos:R:3 pbc="T T T"
Cs 2.2081 0.0000 1.0913
Cs 11.6136 0.0000 5.7014
Ge -1.6685 0.0000 3.3963
Br 7.7379 0.0000 1.6885
Br 6.0839 0.0000 5.1042
Cl 0.7139 0.0000 4.5507
Cl 13.1079 0.0000 2.2420
```

E_form (uncorrected): -1.361 eV/atom
spin magnetization: 0.000 μB/atom
Fermi-level density of states: 0.000 states/eV per atom


The following is a PBE calculation of a relaxed Cs2GeBr4Cl2 crystal, from Alexandria via LeMat-Bulk.

Cell and atoms, written as extended XYZ:
```
9
Lattice="6.6719 -3.7435 0.0000 6.6719 3.7435 0.0000 -1.2023 0.0000 6.7287" Properties=species:S:1:pos:R:3 pbc="T T T"
Cs 1.7244 0.0000 1.8435
Cs 10.4172 0.0000 4.8852
Ge 6.0708 0.0000 3.3644
Br 5.1001 1.7942 1.8615
Br 7.0415 1.7942 4.8672
Br 5.1001 -1.7942 1.8615
Br 7.0415 -1.7942 4.8672
Cl 4.0982 0.0000 4.6091
Cl 8.0434 0.0000 2.1196
```

E_form (uncorrected): -1.177 eV/atom
spin magnetization: 0.000 μB/atom


The following is a PBE calculation of a relaxed Cs3Ge2Br3Cl4 crystal, from Alexandria via LeMat-Bulk.

Cell and atoms, written as extended XYZ:
```
12
Lattice="-2.8082 14.2642 2.7677 2.8082 -14.2642 2.7677 2.8082 14.2642 -2.7677" Properties=species:S:1:pos:R:3 pbc="T T T"
Cs 0.0000 0.0000 0.0000
Cs 0.0000 5.2468 0.0002
Cs 0.0000 23.2815 0.0002
Ge 0.0000 11.3447 0.1495
Ge 0.0000 17.1836 0.1495
Br 2.8082 11.4492 -0.0195
Br 0.0000 14.2642 0.0117
Br 0.0000 2.8150 2.7483
Cl 2.8082 2.8891 -0.2286
Cl 0.0000 8.7412 0.0776
Cl 0.0000 19.7871 0.0776
Cl 0.0000 11.3751 2.5391
```

E_form (uncorrected): -1.350 eV/atom
spin magnetization: 0.000 μB/atom
Fermi-level density of states: 0.000 states/eV per atom


The following is a PBE calculation of a relaxed Cs8HBr4Cl3 crystal, from Alexandria via LeMat-Bulk.

Cell and atoms, written as extended XYZ:
```
16
Lattice="5.0736 2.9292 8.3114 -5.0736 2.9292 8.3114 0.0000 -5.8585 8.3114" Properties=species:S:1:pos:R:3 pbc="T T T"
Cs 0.0000 0.0000 6.1377
Cs -2.4843 -1.4343 14.4105
Cs 0.0000 -2.8687 10.5237
Cs -2.4843 1.4343 10.5237
Cs 2.4843 -1.4343 14.4105
Cs 0.0000 2.8687 14.4105
Cs 2.4843 1.4343 10.5237
Cs 0.0000 0.0000 18.7965
H 0.0000 0.0000 12.4671
Br 0.0000 0.0000 0.0000
Br -2.5368 -1.4646 8.3114
Br -2.5368 1.4646 16.6228
Br 0.0000 2.9292 8.3114
Cl -5.0736 0.0000 12.4671
Cl -2.5368 1.4646 4.1557
Cl 2.5368 1.4646 4.1557
```

spin magnetization: 0.004 μB/atom
DFT total energy: -3.05 eV per atom
Fermi-level density of states: 0.000 states/eV per atom


The following is a PBE calculation of a relaxed Cs8H3BrCl4 crystal, from Alexandria via LeMat-Bulk.

Cell and atoms, written as extended XYZ:
```
16
Lattice="4.9087 2.8340 8.0163 -4.9087 2.8340 8.0163 0.0000 -5.6681 8.0163" Properties=species:S:1:pos:R:3 pbc="T T T"
Cs -2.5526 -1.4737 13.9579
Cs 0.0000 0.0000 5.8969
Cs 0.0000 -2.9475 10.0911
Cs -2.5526 1.4737 10.0911
Cs 2.5526 -1.4737 13.9579
Cs 0.0000 2.9475 13.9579
Cs 0.0000 0.0000 18.1521
Cs 2.5526 1.4737 10.0911
H -4.9087 0.0000 12.0245
H -2.4544 1.4170 4.0082
H 2.4544 1.4170 4.0082
Br 0.0000 0.0000 12.0245
Cl 0.0000 0.0000 0.0000
Cl -2.4544 -1.4170 8.0163
Cl -2.4544 1.4170 16.0326
Cl 0.0000 2.8340 8.0163
```

spin magnetization: 0.010 μB/atom
DFT total energy: -2.88 eV per atom
Fermi-level density of states: 0.000 states/eV per atom


The following is a PBE calculation of a relaxed Cs6HBr3Cl2 crystal, from Alexandria via LeMat-Bulk.

Cell and atoms, written as extended XYZ:
```
12
Lattice="11.0304 -2.5292 0.0000 11.0304 2.5292 0.0000 -2.3649 0.0000 9.8691" Properties=species:S:1:pos:R:3 pbc="T T T"
Cs -0.5210 0.0000 2.2994
Cs 6.2950 0.0000 4.1797
Cs 5.3563 0.0000 9.0286
Cs 14.3395 0.0000 0.8405
Cs 13.4009 0.0000 5.6894
Cs 20.2169 0.0000 7.5697
H 11.0304 0.0000 0.0000
Br 1.7359 0.0000 8.2287
Br 9.8479 0.0000 4.9346
Br 17.9600 0.0000 1.6404
Cl 2.8613 0.0000 3.2555
Cl 16.8345 0.0000 6.6136
```

spin magnetization: 0.005 μB/atom
DFT total energy: -3.00 eV per atom
Fermi-level density of states: 0.000 states/eV per atom


The following is a PBE calculation of a relaxed Cs6H2Br3Cl crystal, from Alexandria via LeMat-Bulk.

Cell and atoms, written as extended XYZ:
```
12
Lattice="4.3137 -7.4711 0.0000 4.3137 7.4711 0.0000 -2.8794 0.0000 8.1876" Properties=species:S:1:pos:R:3 pbc="T T T"
Cs -0.0513 2.5775 6.3290
Cs 1.3379 0.0000 1.8540
Cs -0.0513 -2.5775 6.3290
Cs 5.7992 2.5775 1.8586
Cs 4.4101 0.0000 6.3335
Cs 5.7992 -2.5775 1.8586
H 4.3137 4.9697 0.0000
H 4.3137 -4.9697 0.0000
Br -1.4397 0.0000 4.0938
Br 2.8740 2.4429 4.0938
Br 2.8740 -2.4429 4.0938
Cl 4.3137 0.0000 0.0000
```

spin magnetization: 0.009 μB/atom
DFT total energy: -2.82 eV per atom
Fermi-level density of states: 0.000 states/eV per atom


The following is a PBE calculation of a relaxed Cs8HBr3Cl4 crystal, from Alexandria via LeMat-Bulk.

Cell and atoms, written as extended XYZ:
```
16
Lattice="5.0603 2.9215 8.2677 -5.0603 2.9215 8.2677 0.0000 -5.8431 8.2677" Properties=species:S:1:pos:R:3 pbc="T T T"
Cs -2.6129 -1.5086 14.4456
Cs 0.0000 -3.0171 10.3576
Cs -2.6129 1.5086 10.3576
Cs 0.0000 0.0000 6.1041
Cs 0.0000 0.0000 18.6991
Cs 2.6129 -1.5085 14.4456
Cs 0.0000 3.0171 14.4456
Cs 2.6129 1.5086 10.3576
H 0.0000 0.0000 0.0000
Br -2.5301 -1.4608 8.2677
Br -2.5301 1.4608 16.5355
Br 0.0000 2.9215 8.2677
Cl -5.0602 0.0000 12.4016
Cl -2.5301 1.4608 4.1339
Cl 2.5301 1.4608 4.1339
Cl 0.0000 0.0000 12.4016
```

spin magnetization: 0.004 μB/atom
DFT total energy: -3.08 eV per atom
Fermi-level density of states: 0.000 states/eV per atom


The following is a PBE calculation of a relaxed CsHBrCl crystal, from Alexandria via LeMat-Bulk.

Cell and atoms, written as extended XYZ:
```
4
Lattice="5.5336 0.0000 0.0000 0.0000 4.8430 0.0000 -1.3152 0.0000 5.7771" Properties=species:S:1:pos:R:3 pbc="T T T"
Cs 0.0000 0.0000 0.0000
H 0.4479 2.4215 3.8277
Br 1.4832 2.4215 5.4609
Cl -0.5030 2.4215 2.7826
```

spin magnetization: 0.000 μB/atom
DFT total energy: -3.10 eV per atom
Fermi-level density of states: 0.000 states/eV per atom


The following is a PBE calculation of a relaxed Cs4HBr2Cl crystal, from Alexandria via LeMat-Bulk.

Cell and atoms, written as extended XYZ:
```
8
Lattice="8.7028 0.0000 0.0000 0.0000 5.0284 0.0000 -2.8888 0.0000 8.2471" Properties=species:S:1:pos:R:3 pbc="T T T"
Cs 1.3970 0.0000 1.8885
Cs -0.0600 2.5142 6.3282
Cs 5.8740 2.5142 1.9189
Cs 4.4170 0.0000 6.3586
H 0.0000 2.5142 0.0000
Br -1.4444 0.0000 4.1236
Br 2.9070 2.5142 4.1236
Cl 4.3514 0.0000 0.0000
```

spin magnetization: 0.007 μB/atom
DFT total energy: -2.91 eV per atom
Fermi-level density of states: 0.000 states/eV per atom


The following is a PBE calculation of a relaxed Cs6H3BrCl2 crystal, from Alexandria via LeMat-Bulk.

Cell and atoms, written as extended XYZ:
```
12
Lattice="10.5574 -2.4101 0.0000 10.5574 2.4101 0.0000 -2.2929 0.0000 9.4215" Properties=species:S:1:pos:R:3 pbc="T T T"
Cs -0.4235 0.0000 2.1536
Cs 5.9022 0.0000 4.0109
Cs 5.0442 0.0000 8.5473
Cs 13.7777 0.0000 0.8741
Cs 12.9197 0.0000 5.4105
Cs 19.2454 0.0000 7.2679
H 2.7719 0.0000 3.1106
H 10.5574 0.0000 0.0000
H 16.0500 0.0000 6.3109
Br 9.4109 0.0000 4.7107
Cl 1.6144 0.0000 7.8516
Cl 17.2075 0.0000 1.5699
```

spin magnetization: 0.013 μB/atom
DFT total energy: -2.74 eV per atom
Fermi-level density of states: 0.000 states/eV per atom


What is the spin magnetization in the twelfth record? 0.013 μB/atom